Record 1
Entry from the Alexandria database: crystalline Pr6Ho2Sc3 at its relaxed geometry (PBE-GGA).

Electronic total energy = -5.12 eV/atom
Space group = No. 2

Cell: 6.1274 7.9939 14.6419 Å, 49.39 60.97 97.75°
Closest atoms and distances in Å follow each position.
Sites, in units of the cell vectors:
Pr (0.0956, 0.6378, 0.7288)  3 Ho 3.48-3.58, 6 Pr 3.54-3.63, 3 Sc 3.54-3.63
Pr (0.7352, 0.0951, 0.8145)  5 Sc 3.48-3.57, 5 Pr 3.49-3.60, 2 Ho 3.54-3.61
Pr (0.9044, 0.3622, 0.2712)  3 Ho 3.48-3.58, 6 Pr 3.54-3.63, 3 Sc 3.54-3.63
Pr (0.2648, 0.9049, 0.1855)  5 Sc 3.48-3.57, 5 Pr 3.49-3.60, 2 Ho 3.54-3.61
Pr (0.8171, 0.7179, 0.5457)  4 Sc 3.49-3.55, 6 Pr 3.49-3.70, 2 Ho 3.61-3.62
Pr (0.1829, 0.2821, 0.4543)  4 Sc 3.49-3.55, 6 Pr 3.49-3.70, 2 Ho 3.61-3.62
Ho (0.6468, 0.4656, 0.0860)  3 Sc 3.47-3.60, 7 Pr 3.48-3.62, 2 Ho 3.52-3.57
Ho (0.3532, 0.5344, 0.9140)  3 Sc 3.47-3.60, 7 Pr 3.48-3.62, 2 Ho 3.52-3.57
Sc (0.0000, 0.0000, 0.0000)  2 Sc 3.51, 2 Ho 3.52, 8 Pr 3.53-3.57
Sc (0.5554, 0.8235, 0.3574)  2 Ho 3.47-3.60, 8 Pr 3.48-3.63, 2 Sc 3.51-3.58
Sc (0.4446, 0.1765, 0.6426)  2 Ho 3.47-3.60, 8 Pr 3.48-3.63, 2 Sc 3.51-3.58

***

Record 2
Entry from the Alexandria database: crystalline Er4Te3Pt at its relaxed geometry (PBE-GGA).

Energy relative to the elements, uncorrected = -980 kJ/mol of formula units
Electronic total energy = -5.48 eV/atom
Space group = No. 65

Cell: 4.1658 7.5548 7.5548 Å, 108.33 90.00 90.00°
Closest atoms and distances in Å follow each position.
Sites, in units of the cell vectors:
Te (0.0000, 0.0000, 0.5000)  6 Er 3.05-3.08
Te (0.5000, 0.5000, 0.5000)  6 Er 3.29-3.30
Te (0.0000, 0.5000, 0.0000)  6 Er 3.05-3.08
Pt (0.5000, 0.0000, 0.0000)  6 Er 2.79-2.84
Er (0.0000, 0.2105, 0.2105)  2 Pt 2.79, 2 Te 3.08
Er (0.5000, 0.7683, 0.2317)  1 Pt 2.84, 4 Te 3.05
Er (0.0000, 0.7895, 0.7895)  2 Pt 2.79, 2 Te 3.08
Er (0.5000, 0.2317, 0.7683)  1 Pt 2.84, 4 Te 3.05

***

Record 3
Entry from the Alexandria database: crystalline MgScNb2C at its relaxed geometry (PBE-GGA).

Electronic total energy = -7.61 eV/atom
Space group = No. 123

Cell: 4.3701 4.3701 4.5306 Å, 90.00 90.00 90.00°
Closest atoms and distances in Å follow each position.
Sites, in units of the cell vectors:
Sc (0.0000, 0.0000, 0.5000)  2 C 2.27
C (0.0000, 0.0000, 0.0000)  4 Nb 2.19, 2 Sc 2.27
Nb (0.0000, 0.5000, 0.0000)  2 C 2.19
Nb (0.5000, 0.0000, 0.0000)  2 C 2.19
Mg (0.5000, 0.5000, 0.5000)  4 Sc 3.09, 8 Nb 3.15

***

Record 4
Entry from the Alexandria database: crystalline Sr4LiIn at its relaxed geometry (PBE-GGA).

Energy above the lowest structure with this stoichiometry = 111 meV/atom
Electronic total energy = -1.92 eV/atom
Space group = No. 12

Cell: 5.8164 5.8168 8.2404 Å, 89.93 89.95 90.00°
Closest atoms and distances in Å follow each position.
Sites, in units of the cell vectors:
Sr (0.5012, 0.9968, 0.2342)  2 In 3.50, 2 Li 3.63, 1 Sr 3.89
Sr (0.5014, 0.9977, 0.7621)  2 In 3.50, 2 Li 3.63-3.64, 1 Sr 3.89
Sr (0.0016, 0.4975, 0.7621)  2 In 3.50, 2 Li 3.63, 1 Sr 3.89
Sr (0.0011, 0.4971, 0.2343)  2 In 3.50, 2 Li 3.63, 1 Sr 3.89
Li (0.0012, 0.9976, 0.4979)  8 Sr 3.63-3.64
In (0.5014, 0.4972, 0.9983)  8 Sr 3.50

***

Record 5
Entry from the Alexandria database: crystalline RbGaC at its relaxed geometry (PBE-GGA).

Electronic total energy = -3.97 eV/atom
Space group = No. 63

Cell: 11.2856 11.2856 2.7687 Å, 90.00 90.00 158.05°
Closest atoms and distances in Å follow each position.
Sites, in units of the cell vectors:
C (0.9946, 0.0054, 0.2500)  2 C 1.40
C (0.0054, 0.9946, 0.7500)  2 C 1.40
Ga (0.2212, 0.7788, 0.2500)  6 Ga 2.77-2.86
Ga (0.7788, 0.2212, 0.7500)  6 Ga 2.77-2.86
Rb (0.5953, 0.4047, 0.2500)  2 Rb 2.77, 2 C 3.10
Rb (0.4047, 0.5953, 0.7500)  2 Rb 2.77, 2 C 3.10

***

Record 6
Entry from the Alexandria database: crystalline VMoS2Cl at its relaxed geometry (PBE-GGA).

Energy above the lowest structure with this stoichiometry = 0 meV/atom
Energy relative to the elements, uncorrected = 125 kJ/mol of formula units
Electronic total energy = -5.75 eV/atom
Space group = No. 123

Cell: 4.6692 4.6692 4.6515 Å, 90.00 90.00 90.00°
Closest atoms and distances in Å follow each position.
Sites, in units of the cell vectors:
Mo (0.5000, 0.5000, 0.5000)  8 S 3.30, 4 Cl 3.30
Cl (0.0000, 0.0000, 0.5000)  2 V 2.33
S (0.0000, 0.5000, 0.0000)  2 V 2.33
S (0.5000, 0.0000, 0.0000)  2 V 2.33
V (0.0000, 0.0000, 0.0000)  2 Cl 2.33, 4 S 2.33

***

Record 7
Entry from the Alexandria database: crystalline BeTl3Hg at its relaxed geometry (PBE-GGA).

Energy above the lowest structure with this stoichiometry = 619 meV/atom
Electronic total energy = -1.36 eV/atom
Space group = No. 221

Cell: 5.7653 5.7653 5.7653 Å, 90.00 90.00 90.00°
Closest atoms and distances in Å follow each position.
Sites, in units of the cell vectors:
Be (0.5000, 0.5000, 0.5000)  12 Tl 4.08
Tl (0.0000, 0.5000, 0.0000)  2 Hg 2.88
Tl (0.0000, 0.0000, 0.5000)  2 Hg 2.88
Tl (0.5000, 0.0000, 0.0000)  2 Hg 2.88
Hg (0.0000, 0.0000, 0.0000)  6 Tl 2.88

***

The lowest electronic total energy belongs to which entry?
MgScNb2C

***

Which of these has the lowest electronic total energy?
MgScNb2C